No. 1
# CePm2Ni2 PBE-GGA relaxed
data_CePm2Ni2
_cell_length_a 5.604
_cell_length_b 4.212
_cell_length_c 10.512
_cell_angle_alpha 90.00
_cell_angle_beta 97.76
_cell_angle_gamma 90.00
_symmetry_space_group_name_H-M 'P 1'
_symmetry_Int_Tables_number 1
loop_
_symmetry_equiv_pos_as_xyz
'x,y,z'
loop_
_atom_site_label
_atom_site_fract_x
_atom_site_fract_y
_atom_site_fract_z
Ce1 0.182 0.250 0.202
Ce2 0.818 0.750 0.798
Pm1 0.259 0.250 0.540
Pm2 0.333 0.250 0.877
Pm3 0.667 0.750 0.123
Pm4 0.741 0.750 0.460
Ni1 0.144 0.750 0.024
Ni2 0.215 0.750 0.356
Ni3 0.785 0.250 0.644
Ni4 0.856 0.250 0.976
# Space-group type: P2_1/m (11)
# Calculated density: 7.397 g/cm³
# Energy relative to the lowest polymorph listed for this composition: 59 meV/atom
# Energy of formation from the pure elements: -0.218 eV per atom
# Magnetization: 0.1 Bohr magnetons per cell
# DOS(E_F): 1.257 states/eV per atom
# E: -5.617 eV per atom

---

No. 2
# ScPOs2 PBE-GGA relaxed
data_ScPOs2
_cell_length_a 4.267
_cell_length_b 4.267
_cell_length_c 3.155
_cell_angle_alpha 90.00
_cell_angle_beta 90.00
_cell_angle_gamma 90.00
_symmetry_space_group_name_H-M 'P 1'
_symmetry_Int_Tables_number 1
loop_
_symmetry_equiv_pos_as_xyz
'x,y,z'
loop_
_atom_site_label
_atom_site_fract_x
_atom_site_fract_y
_atom_site_fract_z
Sc1 0.000 0.000 0.000
P1 0.500 0.500 0.000
Os1 0.000 0.500 0.500
Os2 0.500 0.000 0.500
# Space-group type: P4/mmm (123)
# Calculated density: 13.192 g/cm³
# Energy of formation from the pure elements: -0.164 eV per atom
# Magnetization: 0.0 Bohr magnetons per cell
# DOS(E_F): 0.278 states/eV per atom
# E: -8.714 eV per atom

---

No. 3
# La8Ir3SeCl4 PBE-GGA relaxed
data_La8Ir3SeCl4
_cell_length_a 8.899
_cell_length_b 8.899
_cell_length_c 8.899
_cell_angle_alpha 57.17
_cell_angle_beta 57.17
_cell_angle_gamma 57.17
_symmetry_space_group_name_H-M 'P 1'
_symmetry_Int_Tables_number 1
loop_
_symmetry_equiv_pos_as_xyz
'x,y,z'
loop_
_atom_site_label
_atom_site_fract_x
_atom_site_fract_y
_atom_site_fract_z
La1 0.220 0.747 0.747
La2 0.235 0.235 0.235
La3 0.253 0.253 0.780
La4 0.253 0.780 0.253
La5 0.747 0.220 0.747
La6 0.747 0.747 0.220
La7 0.765 0.765 0.765
La8 0.780 0.253 0.253
Ir1 0.000 0.000 0.500
Ir2 0.000 0.500 0.000
Ir3 0.500 0.000 0.000
Se1 0.500 0.500 0.500
Cl1 0.000 0.000 0.000
Cl2 0.000 0.500 0.500
Cl3 0.500 0.000 0.500
Cl4 0.500 0.500 0.000
# Space-group type: R-3m (166)
# Calculated density: 6.804 g/cm³
# Magnetization: 0.0 Bohr magnetons per cell
# Formation energy without anion corrections: -1.41 eV/atom
# DOS(E_F): 0.625 states/eV per atom
# E: -6.214 eV per atom